Entry 1:
The following is a PBE-GGA calculation of crystalline Sc3ZnO at its relaxed geometry, from the Alexandria database.

```
Sc3ZnO
1.0
5.871 0.000 0.000
2.853 5.135 0.000
0.740 0.580 6.003
Sc Zn O
6 2 2
Direct
0.162 0.383 0.292
0.256 0.042 0.876
0.288 0.811 0.423
0.712 0.189 0.577
0.744 0.958 0.124
0.838 0.617 0.708
0.331 0.529 0.866
0.669 0.471 0.134
0.049 0.213 0.583
0.951 0.787 0.417
```

Results
Crystal system ... triclinic
Energy relative to the elements, uncorrected ... -1287 meV per atom
Symmetry ... P-1 (2)
DFT total energy ... -6.33 eV per atom


Entry 2:
The following is a PBE-GGA calculation of crystalline ScZnO2 at its relaxed geometry, from the Alexandria database.

```
ScZnO2
1.0
1.581 0.913 6.140
-1.581 0.913 6.140
0.000 -1.825 6.140
Sc Zn O
1 1 2
Direct
0.000 0.000 0.000
0.500 0.500 0.500
0.391 0.391 0.391
0.609 0.609 0.609
```

Results
Crystal system ... trigonal
Energy relative to the elements, uncorrected ... -2301 meV per atom
Symmetry ... R-3m (166)
DFT total energy ... -6.68 eV per atom


Entry 3:
The following is a PBE-GGA calculation of crystalline Sc3ZnO at its relaxed geometry, from the Alexandria database.

```
Sc3ZnO
1.0
8.353 -1.545 0.000
8.353 1.545 0.000
-0.409 0.000 7.441
Sc Zn O
6 2 2
Direct
0.033 0.033 0.214
0.157 0.157 0.522
0.299 0.299 0.833
0.701 0.701 0.167
0.843 0.843 0.478
0.967 0.967 0.786
0.127 0.127 0.890
0.873 0.873 0.110
0.404 0.404 0.641
0.596 0.596 0.359
```

Results
Crystal system ... monoclinic
Energy relative to the elements, uncorrected ... -1079 meV per atom
Symmetry ... C2/m (12)
DFT total energy ... -6.12 eV per atom